Record 1
! GGA-PBE Np6Al, relaxed; values from VASP
&SYSTEM
  ibrav = 0, nat = 7, ntyp = 2
/
ATOMIC_SPECIES
Np 237.00 Np.upf
Al 26.98 Al.upf
ATOMIC_POSITIONS crystal
Np 0.2500 0.7500 0.5000
Np 0.5000 0.7500 0.2500
Np 0.2500 0.5000 0.7500
Np 0.7500 0.2500 0.5000
Np 0.5000 0.2500 0.7500
Np 0.7500 0.5000 0.2500
Al 0.0000 0.0000 0.0000
CELL_PARAMETERS angstrom
-3.9199 4.3951 -0.3792
-0.4711 -2.6065 5.2736
5.4518 2.1655 -0.6440
! Density ... 15.21 g/cm3
! Energy of formation from the pure elements ... 0.62 eV/atom
! Total magnetic moment ... 0.00 μB/f.u.
! Crystal system ... cubic

Record 2
! GGA-PBE NpAl3, relaxed; values from VASP
&SYSTEM
  ibrav = 0, nat = 4, ntyp = 2
/
ATOMIC_SPECIES
Np 237.00 Np.upf
Al 26.98 Al.upf
ATOMIC_POSITIONS crystal
Np 0.0000 0.0000 0.0000
Al 0.0000 0.5000 0.5000
Al 0.5000 0.0000 0.5000
Al 0.5000 0.5000 0.0000
CELL_PARAMETERS angstrom
-1.7692 -0.3388 -3.8541
-2.4831 -3.1506 1.4168
-2.9670 2.8387 1.1125
! Density ... 6.86 g/cm3
! Energy of formation from the pure elements ... -0.10 eV/atom
! Total magnetic moment ... 4.01 μB/f.u.
! Crystal system ... cubic

Record 3
! GGA-PBE NpAl5, relaxed; values from VASP
&SYSTEM
  ibrav = 0, nat = 6, ntyp = 2
/
ATOMIC_SPECIES
Np 237.00 Np.upf
Al 26.98 Al.upf
ATOMIC_POSITIONS crystal
Np 0.0000 0.0000 0.0000
Al 0.0000 0.6566 0.3132
Al 0.0000 0.3434 0.6868
Al 0.5000 0.5000 0.0000
Al 0.5000 0.1840 0.3681
Al 0.5000 0.8159 0.6319
CELL_PARAMETERS angstrom
2.8346 0.0000 0.0000
0.0000 5.1238 0.0000
0.0000 -2.5619 7.4745
! Energy above the lowest structure with this stoichiometry ... 1.815 kcal/mol of atoms
! Density ... 5.69 g/cm3
! Energy of formation from the pure elements ... 0.04 eV/atom
! Total magnetic moment ... 3.59 μB/f.u.
! Crystal system ... orthorhombic

Record 4
! GGA-PBE NpAl3, relaxed; values from VASP
&SYSTEM
  ibrav = 0, nat = 16, ntyp = 2
/
ATOMIC_SPECIES
Np 237.00 Np.upf
Al 26.98 Al.upf
ATOMIC_POSITIONS crystal
Np 0.0000 0.0000 0.0000
Np 0.0000 0.0000 0.5000
Np 0.6667 0.3333 0.7500
Np 0.3333 0.6667 0.2500
Al 0.5000 0.5000 0.0000
Al 0.5000 0.5000 0.5000
Al 0.0000 0.5000 0.0000
Al 0.5000 0.0000 0.0000
Al 0.5000 0.0000 0.5000
Al 0.0000 0.5000 0.5000
Al 0.1759 0.8241 0.7500
Al 0.8241 0.1759 0.2500
Al 0.6483 0.8241 0.7500
Al 0.1759 0.3517 0.7500
Al 0.8241 0.6483 0.2500
Al 0.3517 0.1759 0.2500
CELL_PARAMETERS angstrom
6.0407 0.0000 0.0000
-3.0204 5.2314 0.0000
0.0000 0.0000 9.6428
! Density ... 6.93 g/cm3
! Energy of formation from the pure elements ... -0.15 eV/atom
! Total magnetic moment ... 0.02 μB/f.u.
! Crystal system ... hexagonal

Record 5
! GGA-PBE NpAl5, relaxed; values from VASP
&SYSTEM
  ibrav = 0, nat = 6, ntyp = 2
/
ATOMIC_SPECIES
Np 237.00 Np.upf
Al 26.98 Al.upf
ATOMIC_POSITIONS crystal
Np 0.0000 0.0000 0.0000
Al 0.5000 0.8311 0.6621
Al 0.0000 0.6773 0.3546
Al 0.5000 0.5000 0.0000
Al 0.0000 0.3227 0.6454
Al 0.5000 0.1689 0.3379
CELL_PARAMETERS angstrom
4.2946 0.0000 0.0000
0.0000 4.1735 0.0000
0.0000 -2.0868 6.1291
! Energy above the lowest structure with this stoichiometry ... 0.000 kcal/mol of atoms
! Density ... 5.62 g/cm3
! Energy of formation from the pure elements ... -0.04 eV/atom
! Total magnetic moment ... 4.14 μB/f.u.
! Crystal system ... orthorhombic

Record 6
! GGA-PBE NpAl5, relaxed; values from VASP
&SYSTEM
  ibrav = 0, nat = 6, ntyp = 2
/
ATOMIC_SPECIES
Np 237.00 Np.upf
Al 26.98 Al.upf
ATOMIC_POSITIONS crystal
Np 0.5000 0.0000 0.0000
Al 0.8348 0.9051 0.4252
Al 0.5000 0.5000 0.5000
Al 0.1652 0.0949 0.5748
Al 0.1652 0.5748 0.0949
Al 0.8348 0.4252 0.9051
CELL_PARAMETERS angstrom
-1.3173 -2.9772 -3.0508
3.2424 -4.5664 -0.2062
-2.3224 -4.5914 2.2210
! Energy above the lowest structure with this stoichiometry ... 0.202 kcal/mol of atoms
! Density ... 5.49 g/cm3
! Energy of formation from the pure elements ... -0.03 eV/atom
! Total magnetic moment ... 4.41 μB/f.u.
! Crystal system ... orthorhombic

Record 7
! GGA-PBE NpAl3, relaxed; values from VASP
&SYSTEM
  ibrav = 0, nat = 4, ntyp = 2
/
ATOMIC_SPECIES
Np 237.00 Np.upf
Al 26.98 Al.upf
ATOMIC_POSITIONS crystal
Np 0.0000 0.0000 0.0000
Al 0.5000 0.5000 0.0000
Al 0.2766 0.2766 0.5532
Al 0.7234 0.7234 0.4468
CELL_PARAMETERS angstrom
-2.9514 0.3600 -2.7001
-2.7229 -0.5017 2.9094
2.7288 5.6924 0.7633
! Density ... 5.75 g/cm3
! Energy of formation from the pure elements ... 0.57 eV/atom
! Total magnetic moment ... 4.80 μB/f.u.
! Crystal system ... tetragonal

Record 8
! GGA-PBE NpAlO4, relaxed; values from VASP
&SYSTEM
  ibrav = 0, nat = 12, ntyp = 3
/
ATOMIC_SPECIES
Np 237.00 Np.upf
Al 26.98 Al.upf
O 16.00 O.upf
ATOMIC_POSITIONS crystal
Np 0.0000 0.5000 0.5000
Np 0.0000 0.0000 0.0000
Al 0.5000 0.0000 0.5000
Al 0.5000 0.5000 0.0000
O 0.7845 0.6424 0.1421
O 0.7845 0.1421 0.6424
O 0.3138 0.3432 0.3432
O 0.6862 0.6568 0.6568
O 0.3136 0.8430 0.8430
O 0.6864 0.1570 0.1570
O 0.2155 0.8579 0.3576
O 0.2155 0.3576 0.8579
CELL_PARAMETERS angstrom
-2.0988 3.1392 2.6986
-4.1315 -3.7920 1.0762
1.4710 -3.0651 4.5878
! Energy relative to the elements, uncorrected ... -16.87 eV per formula unit
! Density ... 7.60 g/cm3
! Total magnetic moment ... 2.00 μB/f.u.
! Crystal system ... orthorhombic